This record from Alexandria describes a relaxed Dy2Ho5ErTh crystal. The functional is GGA-PBE.

DFT formation energy in meV per atom: 164
E_tot in eV per atom: -4.733
V in Å³ per cell: 585.1

Cell lengths 11.0808, 11.0808, 9.6454 Å; angles 90.00, 90.00, 150.40 degrees
Last column: nearest neighbours and their distance in Å.
Fractional positions:
Dy 0.1149 0.8851 0.5000  9 Ho 3.32-3.69, 1 Er 3.40, 1 Dy 3.71
Dy 0.1302 0.8698 0.8827  1 Er 3.23, 2 Ho 3.32, 2 Th 3.58
Dy 0.8698 0.1302 0.3827  1 Er 3.23, 2 Ho 3.32, 2 Th 3.58
Dy 0.8851 0.1149 0.0000  9 Ho 3.32-3.69, 1 Er 3.40, 1 Dy 3.71
Ho 0.0144 0.9856 0.1897  3 Dy 3.32-3.69, 2 Th 3.44, 2 Ho 3.59
Ho 0.2703 0.7297 0.4986  1 Th 3.02, 1 Dy 3.33
Ho 0.3049 0.6951 0.8903  4 Ho 3.42-3.69, 3 Er 3.43-3.79, 3 Dy 3.48-3.74, 1 Th 3.55
Ho 0.3973 0.6027 0.2139  2 Ho 3.27-3.45, 4 Dy 3.32-3.51
Ho 0.4695 0.5305 0.9150  2 Th 3.22-3.38, 5 Ho 3.27-3.59, 2 Dy 3.46
Ho 0.5305 0.4695 0.4150  2 Th 3.22-3.38, 5 Ho 3.27-3.59, 2 Dy 3.46
Ho 0.6027 0.3973 0.7139  2 Ho 3.27-3.45, 4 Dy 3.32-3.51
Ho 0.6951 0.3049 0.3903  4 Ho 3.42-3.69, 3 Er 3.43-3.79, 3 Dy 3.48-3.74, 1 Th 3.55
Ho 0.7297 0.2703 0.9986  1 Th 3.02, 1 Dy 3.33
Ho 0.9856 0.0144 0.6897  3 Dy 3.32-3.69, 2 Th 3.44, 2 Ho 3.59
Er 0.1902 0.8098 0.1895  2 Dy 3.23-3.40, 5 Ho 3.43-3.48, 2 Th 3.60
Er 0.8098 0.1902 0.6895  2 Dy 3.23-3.40, 5 Ho 3.43-3.48, 2 Th 3.60
Th 0.4044 0.5956 0.5957  3 Ho 3.02-3.38
Th 0.5956 0.4044 0.0957  3 Ho 3.02-3.38